Below is an optimized crystal structure of CsNaAg, with properties calculated at the GGA-PBE level.

Its energy is -4.75 eV/f.u. The calculation puts the magnetization at 0.0 μB per cell. For the formation energy, the calculation gives 0.093 eV/atom.

It has space group I4mm (No. 107), with a = 4.2652 Å, b = 4.2652 Å, c = 13.7611 Å, α = 90.00°, β = 90.00° and γ = 90.00°. Symmetry generates all atoms from Cs at (0.0000, 0.0000, 0.0000), Na at (0.0000, 0.0000, 0.7361) and Ag at (0.0000, 0.0000, 0.3047).